Record 1
Crystalline Sr2CaY at its relaxed geometry. Source: the Alexandria database, functional PBE-GGA.

Output
As for the space group: No. 123. Its raw total energy is -2.82 eV/atom. The calculation puts the magnetic moment at 0.2861 μB per atom.

a b c (Å): 3.947 3.947 11.404
angles (deg): 90.00 90.00 90.00
Last column: magnetic moment on the atom in μB.
Sites, in units of the cell vectors:
Y 0.500 0.500 0.250  0.35
Ca 0.500 0.500 0.750  0.01
Sr 0.000 0.000 0.013  0.04
Sr 0.000 0.000 0.487  0.04

=====

Record 2
Crystalline Sr2CaY at its relaxed geometry. Source: the Alexandria database, functional PBE-GGA.

Output
As for the space group: No. 139. Its raw total energy is -2.77 eV/atom. The calculation puts the magnetic moment at 0.1939 μB per atom.

a b c (Å): 6.879 6.879 6.879
angles (deg): 131.76 131.76 70.61
Last column: magnetic moment on the atom in μB.
Sites, in units of the cell vectors:
Ca 0.750 0.250 0.500  0.03
Sr 0.000 0.000 0.000  0.03
Sr 0.500 0.500 0.000  0.03
Y 0.250 0.750 0.500  0.19

=====

Record 3
Crystalline SrCa2Y at its relaxed geometry. Source: the Alexandria database, functional PBE-GGA.

Output
As for the space group: No. 160. Its raw total energy is -2.92 eV/atom. The calculation puts the magnetic moment at 0.2246 μB per atom.

a b c (Å): 13.045 13.045 13.045
angles (deg): 17.01 17.01 17.01
Last column: magnetic moment on the atom in μB.
Sites, in units of the cell vectors:
Sr 0.496 0.496 0.496  0.04
Ca 0.253 0.253 0.253  0.01
Ca 0.003 0.003 0.003  0.03
Y 0.747 0.747 0.747  0.25

=====

Record 4
Crystalline SrCa2Y at its relaxed geometry. Source: the Alexandria database, functional PBE-GGA.

Output
As for the space group: No. 47. Its raw total energy is -2.88 eV/atom. The calculation puts the magnetic moment at 0.0021 μB per atom.

a b c (Å): 4.279 6.123 6.180
angles (deg): 90.00 90.00 90.00
Sites, in units of the cell vectors:
Y 0.000 0.500 0.500
Ca 0.000 0.000 0.000
Ca 0.500 0.500 0.000
Sr 0.500 0.000 0.500

=====

Record 5
Crystalline SrCa2Y at its relaxed geometry. Source: the Alexandria database, functional PBE-GGA.

Output
As for the space group: No. 216. Its raw total energy is -2.89 eV/atom. The calculation puts the magnetic moment at 0.0000 μB per atom.

a b c (Å): 6.118 6.118 6.118
angles (deg): 60.00 60.00 60.00
Sites, in units of the cell vectors:
Ca 0.250 0.250 0.250
Ca 0.000 0.000 0.000
Sr 0.500 0.500 0.500
Y 0.750 0.750 0.750

=====

Record 6
Crystalline SrCaY4 at its relaxed geometry. Source: the Alexandria database, functional PBE-GGA.

Output
As for the space group: No. 216. Its raw total energy is -4.71 eV/atom. The calculation puts the magnetic moment at 0.0000 μB per atom.

a b c (Å): 6.881 6.881 6.881
angles (deg): 60.00 60.00 60.00
Sites, in units of the cell vectors:
Ca 0.750 0.750 0.750
Y 0.376 0.376 0.376
Y 0.872 0.376 0.376
Sr 0.000 0.000 0.000
Y 0.376 0.872 0.376
Y 0.376 0.376 0.872

=====

no.,ΔE_f (meV/atom)
1,141
2,192
3,118
4,156
5,148
6,210